(1)
YBe2Te | PBE | optimized geometry

Unit cell a=3.5996 b=3.5996 c=6.5598 alpha=90.00 beta=90.00 gamma=108.79
Last column: nearest neighbours and their distance in Å.
Element x y z (fractional)
Y (0.0000, 0.0000, 0.0000)  3 Be 2.75-2.81, 2 Te 3.04
Be (0.0000, 0.0000, 0.5811)  2 Be 2.27
Be (0.5000, 0.5000, 0.7139)  2 Be 2.27, 1 Te 2.48
Te (0.5000, 0.5000, 0.3358)  3 Be 2.48-2.64

Values from the calculation:
**Symmetry**: Cmm2 (35)
**E_form (uncorrected)**: 134 meV per atom
**Spin magnetization**: 0.00 μB per formula unit
**DOS(E_F)**: 0.5038 states/eV per atom



(2)
YBeTe2 | PBE | optimized geometry

Unit cell a=6.3708 b=6.3708 c=6.3708 alpha=141.49 beta=141.49 gamma=55.60
Last column: nearest neighbours and their distance in Å.
Element x y z (fractional)
Y (0.0000, 0.0000, 0.0000)  4 Te 2.97
Be (0.2500, 0.7500, 0.5000)  4 Te 2.97
Te (0.5000, 0.5000, 0.0000)  4 Y 2.97
Te (0.7500, 0.2500, 0.5000)  4 Be 2.97

Values from the calculation:
**Symmetry**: I-4m2 (119)
**E_form (uncorrected)**: -258 meV per atom
**Spin magnetization**: 0.00 μB per formula unit
**DOS(E_F)**: 0.4472 states/eV per atom



(3)
YBeTe2 | PBE | optimized geometry

Unit cell a=3.9522 b=3.7056 c=7.0924 alpha=90.00 beta=103.43 gamma=90.00
Last column: nearest neighbours and their distance in Å.
Element x y z (fractional)
Y (0.0000, 0.0000, 0.0000)  8 Te 3.20-3.31
Be (0.5000, 0.0000, 0.5000)  4 Te 2.58
Te (0.4135, 0.5000, 0.7373)  2 Be 2.58
Te (0.5865, 0.5000, 0.2626)  2 Be 2.58

Values from the calculation:
**Symmetry**: P2/m (10)
**E_form (uncorrected)**: -481 meV per atom
**Spin magnetization**: 0.00 μB per formula unit
**DOS(E_F)**: 0.5801 states/eV per atom



(4)
YBe2Te | PBE | optimized geometry

Unit cell a=3.8021 b=4.0550 c=5.2616 alpha=90.00 beta=90.00 gamma=90.00
Last column: nearest neighbours and their distance in Å.
Element x y z (fractional)
Y (0.0000, 0.0000, 0.0000)  8 Be 2.95
Be (0.5000, 0.5000, 0.1893)  1 Be 1.99
Be (0.5000, 0.5000, 0.8107)  1 Be 1.99
Te (0.0000, 0.5000, 0.5000)  4 Be 2.51

Values from the calculation:
**Symmetry**: Pmmm (47)
**E_form (uncorrected)**: -38 meV per atom
**Spin magnetization**: 0.00 μB per formula unit
**DOS(E_F)**: 0.6669 states/eV per atom



(5)
Y2BeTe | PBE | optimized geometry

Unit cell a=3.9686 b=5.9236 c=5.9236 alpha=42.88 beta=90.00 gamma=90.00
Last column: nearest neighbours and their distance in Å.
Element x y z (fractional)
Y (0.0000, 0.0000, 0.0000)  4 Be 2.99, 3 Te 3.18-3.19
Y (0.5000, 0.2941, 0.2941)  1 Be 2.82, 4 Te 3.08
Be (0.5000, 0.5501, 0.5501)  2 Te 2.66, 1 Y 2.82
Te (0.0000, 0.7111, 0.7111)  2 Be 2.66

Values from the calculation:
**Symmetry**: Amm2 (38)
**E_form (uncorrected)**: -558 meV per atom
**Spin magnetization**: 0.00 μB per formula unit
**DOS(E_F)**: 0.9442 states/eV per atom



(6)
YBeTe2 | PBE | optimized geometry

Unit cell a=5.2319 b=5.2319 c=5.2319 alpha=60.00 beta=60.00 gamma=60.00
Last column: nearest neighbours and their distance in Å.
Element x y z (fractional)
Y (0.0000, 0.0000, 0.0000)  8 Te 3.20
Be (0.5000, 0.5000, 0.5000)  8 Te 3.20
Te (0.2500, 0.2500, 0.2500)  4 Be 3.20, 4 Y 3.20
Te (0.7500, 0.7500, 0.7500)  4 Be 3.20, 4 Y 3.20

Values from the calculation:
**Symmetry**: Fm-3m (225)
**E_form (uncorrected)**: -176 meV per atom
**Spin magnetization**: 0.00 μB per formula unit
**DOS(E_F)**: 0.9971 states/eV per atom



no.,relative energy among the computed polymorphs (meV per atom)
1,172
2,527
3,303
4,0
5,0
6,608